Here is a geometry-optimized Dy6S5 structure from the Alexandria database. Energies are from PBE.

The structure in extended XYZ format:
```
11
Lattice="6.647 0.239 -0.949 1.609 5.698 -3.215 -0.174 -0.152 6.703" Properties=species:S:1:pos:R:3 pbc="T T T"
Dy 6.146 4.442 -3.111
Dy 5.597 2.514 0.200
Dy 4.998 0.546 3.471
Dy 2.485 3.271 2.340
Dy 2.111 1.495 -1.052
Dy 3.084 5.239 -0.932
S 4.128 2.968 -2.082
S 1.013 3.742 0.079
S 0.422 1.804 3.409
S 3.536 1.030 1.247
S 4.546 4.754 1.293
```

## Properties
symmetry = No. 12
total energy = -6.20 eV per atom
formation energy from raw total energies = -1818 meV per atom
magnetic moment = 0.000 μB/atom